No. 1
Compound: Sr4InTe
Source: Alexandria via LeMat-Bulk
Functional: PBE-GGA
Structure: optimized geometry

a = 10.022 Å, b = 10.022 Å, c = 10.022 Å
α = 90.00°, β = 90.00°, γ = 90.00°
Space group F-43m (No. 216)
Symmetry-distinct sites (fractional):
Sr 0.125 0.125 0.125 x16
In 0.000 0.000 0.500 x4
Te 0.250 0.250 0.750 x4

Calculated volume, Å³ per atom: 41.94
E, eV per atom: -2.0385
Density, kg/m³: 3912
Uncorrected formation energy, eV/atom: 0.06

No. 2
Compound: KSi2Pt
Source: Alexandria via LeMat-Bulk
Functional: PBE-GGA
Structure: optimized geometry

a = 5.128 Å, b = 5.128 Å, c = 15.741 Å
α = 90.00°, β = 90.00°, γ = 90.00°
Space group I4_1/amd (No. 141, origin choice 2)
Symmetry-distinct sites (fractional):
K 0.000 0.250 0.375 x4
Si 0.000 0.000 0.000 x8
Pt 0.000 0.250 0.875 x4

Calculated volume, Å³ per atom: 25.87
E, eV per atom: -4.6573
Density, kg/m³: 4659
Uncorrected formation energy, eV/atom: -0.16

No. 3
Compound: Li2Ce2DyGe2
Source: Alexandria via LeMat-Bulk
Functional: PBE-GGA
Structure: optimized geometry

a = 4.3873 Å, b = 4.3873 Å, c = 26.2790 Å
α = 90.00°, β = 90.00°, γ = 120.00°
Space group R-3m (No. 166, hexagonal axes)
Symmetry-distinct sites (fractional):
Li 0.0000 0.0000 0.0949 x6
Ce 0.0000 0.0000 0.3588 x6
Dy 0.0000 0.0000 0.5000 x3
Ge 0.0000 0.0000 0.2338 x6

Energy relative to the elements, eV/atom: -0.48
Calculated volume, Å³ per atom: 20.86
E, eV per atom: -4.6956
Density, kg/m³: 6845

No. 4
Compound: Cs3TbHo2S6
Source: Alexandria via LeMat-Bulk
Functional: PBE-GGA
Structure: optimized geometry

a = 7.102 Å, b = 12.301 Å, c = 8.404 Å
α = 90.00°, β = 106.36°, γ = 90.00°
Space group C2/m (No. 12)
Symmetry-distinct sites (fractional):
Cs 0.000 0.000 0.000 x2
Cs 0.000 0.334 0.000 x4
Tb 0.000 0.500 0.500 x2
Ho 0.000 0.167 0.500 x4
S 0.225 0.000 0.681 x4
S 0.228 0.332 0.681 x8

Calculated volume, Å³ per atom: 29.35
E, eV per atom: -5.2586
Density, kg/m³: 5091
Uncorrected formation energy, eV/atom: -1.83

No. 5
Compound: Mg2SiSb
Source: Alexandria via LeMat-Bulk
Functional: PBE-GGA
Structure: optimized geometry

a = 3.181 Å, b = 3.990 Å, c = 6.716 Å
α = 90.00°, β = 94.88°, γ = 90.00°
Space group P2/m (No. 10)
Symmetry-distinct sites (fractional):
Mg 0.008 0.000 0.278 x2
Si 0.500 0.500 0.500 x1
Sb 0.500 0.500 0.000 x1

Polymorph energy (0 for the lowest one), meV/atom: 19
Calculated volume, Å³ per atom: 21.24
E, eV per atom: -3.1680
Density, kg/m³: 3880
Uncorrected formation energy, eV/atom: 0.02

No. 6
Compound: HfCdP2O
Source: Alexandria via LeMat-Bulk
Functional: PBE-GGA
Structure: optimized geometry

a = 4.865 Å, b = 4.865 Å, c = 3.991 Å
α = 90.00°, β = 90.00°, γ = 90.00°
Space group P4/mmm (No. 123)
Symmetry-distinct sites (fractional):
Hf 0.000 0.000 0.000 x1
Cd 0.500 0.500 0.500 x1
P 0.000 0.500 0.500 x2
O 0.500 0.500 0.000 x1

Polymorph energy (0 for the lowest one), meV/atom: 1059
Calculated volume, Å³ per atom: 18.90
E, eV per atom: -4.8257
Density, kg/m³: 6482
Uncorrected formation energy, eV/atom: 0.50

No. 7
Compound: ScU2S6
Source: Alexandria via LeMat-Bulk
Functional: PBE-GGA
Structure: optimized geometry

a = 17.139 Å, b = 3.938 Å, c = 7.976 Å
α = 90.00°, β = 105.00°, γ = 90.00°
Space group C2/m (No. 12)
Symmetry-distinct sites (fractional):
Sc 0.000 0.000 0.000 x2
U 0.163 0.500 0.320 x4
S 0.008 0.500 0.221 x4
S 0.157 0.000 0.094 x4
S 0.175 0.000 0.554 x4

Polymorph energy (0 for the lowest one), meV/atom: 0
Calculated volume, Å³ per atom: 28.89
E, eV per atom: -7.4131
Density, kg/m³: 4556
Uncorrected formation energy, eV/atom: -1.45

No. 8
Compound: Ac3TlRh
Source: Alexandria via LeMat-Bulk
Functional: PBE-GGA
Structure: optimized geometry

a = 5.756 Å, b = 5.756 Å, c = 5.756 Å
α = 90.00°, β = 90.00°, γ = 90.00°
Space group Pm-3m (No. 221)
Symmetry-distinct sites (fractional):
Ac 0.000 0.000 0.500 x3
Tl 0.500 0.500 0.500 x1
Rh 0.000 0.000 0.000 x1

Polymorph energy (0 for the lowest one), meV/atom: 121
Energy relative to the elements, eV/atom: -0.36
Calculated volume, Å³ per atom: 38.14
E, eV per atom: -4.7729
Density, kg/m³: 8606

No. 9
Compound: NaHfRe2S
Source: Alexandria via LeMat-Bulk
Functional: PBE-GGA
Structure: optimized geometry

a = 4.811 Å, b = 4.811 Å, c = 5.640 Å
α = 90.00°, β = 90.00°, γ = 90.00°
Space group P4/mmm (No. 123)
Symmetry-distinct sites (fractional):
Na 0.000 0.000 0.000 x1
Hf 0.000 0.000 0.500 x1
Re 0.000 0.500 0.500 x2
S 0.500 0.500 0.000 x1

Calculated volume, Å³ per atom: 26.11
E, eV per atom: -5.8286
Density, kg/m³: 7707
Uncorrected formation energy, eV/atom: 2.23

No. 10
Compound: RbHgCl2F
Source: Alexandria via LeMat-Bulk
Functional: PBE-GGA
Structure: optimized geometry

a = 5.386 Å, b = 5.386 Å, c = 4.608 Å
α = 90.00°, β = 90.00°, γ = 90.00°
Space group P4/mmm (No. 123)
Symmetry-distinct sites (fractional):
Rb 0.000 0.000 0.000 x1
Hg 0.500 0.500 0.500 x1
Cl 0.000 0.500 0.500 x2
F 0.500 0.500 0.000 x1

Polymorph energy (0 for the lowest one), meV/atom: 46
Calculated volume, Å³ per atom: 26.73
E, eV per atom: -2.7682
Density, kg/m³: 4671
Uncorrected formation energy, eV/atom: -1.40

No. 11
Compound: Na5In2Hg5
Source: Alexandria via LeMat-Bulk
Functional: PBE-GGA
Structure: optimized geometry

a = 16.313 Å, b = 4.055 Å, c = 11.318 Å
α = 90.00°, β = 114.35°, γ = 90.00°
Space group C2/m (No. 12)
Symmetry-distinct sites (fractional):
Na 0.000 0.000 0.000 x2
Na 0.165 0.000 0.547 x4
Na 0.188 0.500 0.069 x4
In 0.040 0.500 0.259 x4
Hg 0.000 0.500 0.500 x2
Hg 0.152 0.500 0.777 x4
Hg 0.180 0.000 0.278 x4

Polymorph energy (0 for the lowest one), meV/atom: 56
Energy relative to the elements, eV/atom: -0.15
Calculated volume, Å³ per atom: 28.42
E, eV per atom: -1.2787
Density, kg/m³: 6561

No. 12
Compound: Hf3Sn
Source: Alexandria via LeMat-Bulk
Functional: PBE-GGA
Structure: optimized geometry

a = 6.2702 Å, b = 6.2702 Å, c = 5.0979 Å
α = 90.00°, β = 90.00°, γ = 120.00°
Space group P6_3/mmc (No. 194)
Symmetry-distinct sites (fractional):
Hf 0.1659 0.3318 0.2500 x6
Sn 0.3333 0.6667 0.7500 x2

Energy relative to the elements, eV/atom: -0.24
Calculated volume, Å³ per atom: 21.70
E, eV per atom: -8.7052
Density, kg/m³: 12516

No. 13
Compound: Mg8Hg3Bi2
Source: Alexandria via LeMat-Bulk
Functional: PBE-GGA
Structure: optimized geometry

a = 9.556 Å, b = 14.742 Å, c = 4.757 Å
α = 90.00°, β = 90.00°, γ = 90.00°
Space group Cmmm (No. 65)
Symmetry-distinct sites (fractional):
Mg 0.000 0.113 0.000 x4
Mg 0.000 0.382 0.000 x4
Mg 0.244 0.115 0.500 x8
Hg 0.000 0.500 0.500 x2
Hg 0.240 0.000 0.000 x4
Bi 0.000 0.248 0.500 x4

Energy relative to the elements, eV/atom: -0.16
Calculated volume, Å³ per atom: 25.77
E, eV per atom: -1.8116
Density, kg/m³: 6017

No. 14
Compound: Sr2GeRuSe
Source: Alexandria via LeMat-Bulk
Functional: PBE-GGA
Structure: optimized geometry

a = 5.691 Å, b = 5.691 Å, c = 4.557 Å
α = 90.00°, β = 90.00°, γ = 90.00°
Space group P4/mmm (No. 123)
Symmetry-distinct sites (fractional):
Sr 0.000 0.500 0.000 x2
Ge 0.000 0.000 0.000 x1
Ru 0.000 0.000 0.500 x1
Se 0.500 0.500 0.500 x1

Calculated volume, Å³ per atom: 29.51
E, eV per atom: -4.3263
Density, kg/m³: 4815
Uncorrected formation energy, eV/atom: -0.18

No. 15
Compound: AlMoAu2
Source: Alexandria via LeMat-Bulk
Functional: PBE-GGA
Structure: optimized geometry

a = 2.9038 Å, b = 2.9038 Å, c = 27.2046 Å
α = 90.00°, β = 90.00°, γ = 120.00°
Space group R-3m (No. 166, hexagonal axes)
Symmetry-distinct sites (fractional):
Al 0.0000 0.0000 0.0000 x3
Mo 0.0000 0.0000 0.5000 x3
Au 0.0000 0.0000 0.2537 x6

Energy relative to the elements, eV/atom: 0.08
Calculated volume, Å³ per atom: 16.55
E, eV per atom: -5.1982
Density, kg/m³: 12961

No. 16
Compound: NaCaAuS2
Source: Alexandria via LeMat-Bulk
Functional: PBE-GGA
Structure: optimized geometry

a = 5.030 Å, b = 5.030 Å, c = 4.884 Å
α = 90.00°, β = 90.00°, γ = 90.00°
Space group P4/mmm (No. 123)
Symmetry-distinct sites (fractional):
Na 0.000 0.000 0.000 x1
Ca 0.500 0.500 0.500 x1
Au 0.000 0.000 0.500 x1
S 0.000 0.500 0.000 x2

Polymorph energy (0 for the lowest one), meV/atom: 1056
Calculated volume, Å³ per atom: 24.72
E, eV per atom: -3.0959
Density, kg/m³: 4355
Uncorrected formation energy, eV/atom: -0.13

No. 17
Compound: Mg3Br
Source: Alexandria via LeMat-Bulk
Functional: PBE-GGA
Structure: optimized geometry

a = 5.956 Å, b = 5.956 Å, c = 5.956 Å
α = 90.00°, β = 90.00°, γ = 90.00°
Space group Pm-3m (No. 221)
Symmetry-distinct sites (fractional):
Mg 0.000 0.000 0.500 x3
Br 0.000 0.000 0.000 x1

Polymorph energy (0 for the lowest one), meV/atom: 955
Calculated volume, Å³ per atom: 52.83
E, eV per atom: -0.9793
Density, kg/m³: 1201
Uncorrected formation energy, eV/atom: 0.63

No. 18
Compound: Y3HgO
Source: Alexandria via LeMat-Bulk
Functional: PBE-GGA
Structure: optimized geometry

a = 13.985 Å, b = 10.482 Å, c = 7.486 Å
α = 90.00°, β = 110.21°, γ = 90.00°
Space group C2/c (No. 15)
Symmetry-distinct sites (fractional):
Y 0.000 0.250 0.000 x8
Y 0.134 0.008 0.325 x8
Y 0.134 0.492 0.825 x8
Hg 0.250 0.240 0.750 x8
O 0.000 0.133 0.250 x4
O 0.000 0.367 0.750 x4

Polymorph energy (0 for the lowest one), meV/atom: 129
Calculated volume, Å³ per atom: 25.75
E, eV per atom: -6.2024
Density, kg/m³: 6235
Uncorrected formation energy, eV/atom: -1.27

No. 19
Compound: Li2HfZrZn
Source: Alexandria via LeMat-Bulk
Functional: PBE-GGA
Structure: optimized geometry

a = 5.032 Å, b = 5.032 Å, c = 5.047 Å
α = 90.00°, β = 90.00°, γ = 90.00°
Space group P4/mmm (No. 123)
Symmetry-distinct sites (fractional):
Li 0.000 0.500 0.000 x2
Hf 0.000 0.000 0.500 x1
Zr 0.000 0.000 0.000 x1
Zn 0.500 0.500 0.500 x1

Polymorph energy (0 for the lowest one), meV/atom: 44
Energy relative to the elements, eV/atom: 1.29
Calculated volume, Å³ per atom: 25.55
E, eV per atom: -3.4304
Density, kg/m³: 4536